Compound: Ca2ScHg
Source: the Alexandria database
Functional: PBE-GGA
Structure: relaxed

Cell and atoms, written as POSCAR:
```
Ca2ScHg
1.0
4.9830 0.0000 0.0000
0.0000 3.8415 0.0120
0.0000 1.9045 6.4208
Sc Ca Hg
1 2 1
Cartesian
2.4915 3.5923 4.7457
0.0000 5.5084 6.1960
2.4915 1.6756 1.9318
0.0000 3.5888 3.2085
```

Output
Space group ... Pm (6)
Energy of formation ... -0.094 eV/atom
N(E_F) ... 6.1 states/eV per cell
E_tot ... -11.01 eV/f.u.

Compound: BaLiBe2F8
Source: the Alexandria database
Functional: PBE-GGA
Structure: relaxed

Cell and atoms, written as POSCAR:
```
BaLiBe2F8
1.0
-4.3286 2.1279 0.5633
-2.4798 0.5449 -4.1395
-3.7285 -6.5965 0.7547
Ba Li Be F
1 1 2 8
Cartesian
-1.8642 -3.2982 0.3774
0.0000 0.0000 0.0000
-4.9817 0.2648 -2.0475
-5.5552 -4.1886 -0.7739
-6.7608 -3.6097 0.0033
-5.3137 1.6711 -2.6514
-6.1511 -0.7963 -2.1500
-4.3858 -3.1274 -0.6714
-5.2232 -5.5948 -0.1701
-5.8641 -4.3775 -2.2777
-4.6728 0.4538 -0.5437
-3.7761 -0.3140 -2.8247
```

Output
Space group ... C2/m (12)
Formation energy without anion corrections ... -3.064 eV per atom
N(E_F) ... 9.2 states/eV per cell
E_tot ... -63.03 eV/f.u.

Copy entry 2 word for word.
Compound: BaLiBe2F8
Source: the Alexandria database
Functional: PBE-GGA
Structure: relaxed

Cell and atoms, written as POSCAR:
```
BaLiBe2F8
1.0
-4.3286 2.1279 0.5633
-2.4798 0.5449 -4.1395
-3.7285 -6.5965 0.7547
Ba Li Be F
1 1 2 8
Cartesian
-1.8642 -3.2982 0.3774
0.0000 0.0000 0.0000
-4.9817 0.2648 -2.0475
-5.5552 -4.1886 -0.7739
-6.7608 -3.6097 0.0033
-5.3137 1.6711 -2.6514
-6.1511 -0.7963 -2.1500
-4.3858 -3.1274 -0.6714
-5.2232 -5.5948 -0.1701
-5.8641 -4.3775 -2.2777
-4.6728 0.4538 -0.5437
-3.7761 -0.3140 -2.8247
```

Output
Space group ... C2/m (12)
Formation energy without anion corrections ... -3.064 eV per atom
N(E_F) ... 9.2 states/eV per cell
E_tot ... -63.03 eV/f.u.